Density functional theory data (GGA-PBE) for crystalline SiSn3Sb at its relaxed geometry.

```
5
Lattice="5.684 0.000 0.000 0.000 5.684 0.000 0.000 0.000 5.684" Properties=species:S:1:pos:R:3 pbc="T T T"
Si 0.000 0.000 0.000
Sn 0.000 2.842 2.842
Sn 2.842 0.000 2.842
Sn 2.842 2.842 0.000
Sb 2.842 2.842 2.842
```

Results
As for the uncorrected energy: -3.2710 eV per atom. The symmetry is Pm-3m.

***

Density functional theory data (GGA-PBE) for crystalline PdRu2Pt at its relaxed geometry.

```
8
Lattice="-3.497 3.497 2.657 3.497 -3.497 2.657 3.497 3.497 -2.657" Properties=species:S:1:pos:R:3 pbc="T T T"
Pd 0.000 0.000 0.000
Pd 0.000 3.497 1.329
Ru 1.749 -1.691 1.993
Ru 1.806 1.749 0.664
Ru 1.749 5.188 -0.664
Ru 1.691 1.749 3.322
Pt 3.497 0.000 1.329
Pt 0.000 0.000 2.657
```

Results
As for the uncorrected energy: -6.7256 eV per atom. The symmetry is I-42d. The value obtained for the energy relative to the elements is 0.7207 eV/atom.